Entry from the Alexandria database: crystalline Pr3TlAg4 at its relaxed geometry (PBE).

For the formation energy, the calculation gives -0.087 eV per atom. Its total energy is -3.60 eV per atom. As for the spin magnetization: 0.00 μB per formula unit. As for the space group: No. 71.

Unit cell a=9.875 b=9.875 c=9.875 alpha=158.70 beta=140.67 gamma=45.15
Fractional coordinates of all 8 atoms:
1 Pr 0.000 0.000 0.000
2 Pr 0.279 0.779 0.500
3 Pr 0.721 0.221 0.500
4 Tl 0.500 0.500 0.000
5 Ag 0.089 0.375 0.714
6 Ag 0.339 0.625 0.714
7 Ag 0.661 0.375 0.286
8 Ag 0.911 0.625 0.286